Record 1
Material: Pm11Mg9Cd4
Method: DFT, PBE-GGA
State: optimized geometry

Results
ΔE_f   -3.5 kcal/mol of atoms
Total moment   0.0 Bohr magnetons per cell
Raw total energy   -3.081 eV per atom
Density   5.50 Mg/m³

a b c (Å): 15.448 23.041 3.840
angles (deg): 90.00 90.00 90.00
Space group Cmmm (No. 65)
Unique sites:
1 Pm 0.000 0.000 0.000 [2 per cell]
2 Pm 0.000 0.168 0.000 [4 per cell]
3 Pm 0.000 0.348 0.000 [4 per cell]
4 Pm 0.240 0.172 0.000 [8 per cell]
5 Pm 0.241 0.500 0.000 [4 per cell]
6 Mg 0.000 0.500 0.500 [2 per cell]
7 Mg 0.116 0.258 0.500 [8 per cell]
8 Mg 0.126 0.081 0.500 [8 per cell]
9 Cd 0.142 0.408 0.500 [8 per cell]

Record 2
Material: ZnFeCo
Method: DFT, PBE-GGA
State: optimized geometry

Results
ΔE_f   0.1 kcal/mol of atoms
Total moment   4.0 Bohr magnetons per cell
Raw total energy   -5.611 eV per atom
Density   8.26 Mg/m³

a b c (Å): 4.0739 4.0739 2.5211
angles (deg): 90.00 90.00 120.00
Space group P3m1 (No. 156)
Unique sites:
1 Zn 0.0000 0.0000 0.0000 [1 per cell]
2 Fe 0.6667 0.3333 0.6150 [1 per cell]
3 Co 0.3333 0.6667 0.3647 [1 per cell]